[1]
The following is a GGA-PBE calculation of Cs2Sb2Au after structural relaxation, from Alexandria via LeMat-Bulk.

Summary:
**Uncorrected energy**: -2.932 eV per atom

a b c (Å): 7.534 7.534 6.398
angles (deg): 90.00 90.00 90.00
Fractional coordinates of all 10 atoms:
Cs 0.671 0.829 0.500
Cs 0.329 0.171 0.500
Cs 0.171 0.671 0.500
Cs 0.829 0.329 0.500
Sb 0.141 0.359 0.000
Sb 0.359 0.859 0.000
Sb 0.859 0.641 0.000
Sb 0.641 0.141 0.000
Au 0.000 0.000 0.000
Au 0.500 0.500 0.000

[2]
The following is a GGA-PBE calculation of CsSbAu3 after structural relaxation, from Alexandria via LeMat-Bulk.

Summary:
**Uncorrected energy**: -2.818 eV per atom

a b c (Å): 4.699 4.699 19.873
angles (deg): 90.00 90.00 120.00
Fractional coordinates of all 10 atoms:
Au 0.333 0.667 0.885
Au 0.333 0.667 0.615
Au 0.000 0.000 0.750
Au 0.000 0.000 0.250
Au 0.667 0.333 0.115
Au 0.667 0.333 0.385
Cs 0.000 0.000 0.500
Cs 0.000 0.000 0.000
Sb 0.667 0.333 0.250
Sb 0.333 0.667 0.750

[3]
The following is a GGA-PBE calculation of Cs2Sb2Au7 after structural relaxation, from Alexandria via LeMat-Bulk.

Summary:
**Uncorrected energy**: -3.218 eV per atom

a b c (Å): 5.955 8.169 8.169
angles (deg): 69.94 89.84 89.84
Fractional coordinates of all 11 atoms:
Au 0.250 0.014 0.484
Au 0.250 0.484 0.014
Au 0.539 0.236 0.236
Au 0.750 0.516 0.986
Au 0.750 0.986 0.516
Au 0.461 0.764 0.764
Au 0.000 0.000 0.000
Sb 0.001 0.200 0.200
Sb 0.999 0.800 0.800
Cs 0.500 0.747 0.253
Cs 0.500 0.253 0.747

[4]
The following is a GGA-PBE calculation of CsSbAu3 after structural relaxation, from Alexandria via LeMat-Bulk.

Summary:
**Uncorrected energy**: -3.021 eV per atom

a b c (Å): 9.990 9.990 6.294
angles (deg): 90.00 90.00 149.05
Fractional coordinates of all 10 atoms:
Au 0.627 0.884 0.250
Au 0.000 0.000 0.500
Au 0.116 0.373 0.250
Au 0.000 0.000 0.000
Au 0.884 0.627 0.750
Au 0.373 0.116 0.750
Cs 0.810 0.190 0.750
Cs 0.190 0.810 0.250
Sb 0.498 0.502 0.250
Sb 0.502 0.498 0.750

[5]
The following is a GGA-PBE calculation of CsSbAu3 after structural relaxation, from Alexandria via LeMat-Bulk.

Summary:
**Uncorrected energy**: -3.147 eV per atom

a b c (Å): 5.004 5.004 5.708
angles (deg): 90.00 90.00 90.00
Fractional coordinates of all 5 atoms:
Sb 0.000 0.000 0.125
Cs 0.500 0.500 0.830
Au 0.500 0.000 0.339
Au 0.000 0.500 0.339
Au 0.000 0.000 0.631

[6]
The following is a GGA-PBE calculation of Cs2Sb7Au12 after structural relaxation, from Alexandria via LeMat-Bulk.

Summary:
**Uncorrected energy**: -3.428 eV per atom

a b c (Å): 6.807 9.461 10.065
angles (deg): 120.48 89.71 97.54
Fractional coordinates of all 21 atoms:
Cs 0.815 0.658 0.318
Cs 0.185 0.342 0.682
Sb 0.747 0.077 0.713
Sb 0.087 0.765 0.686
Sb 0.253 0.923 0.287
Sb 0.913 0.235 0.314
Sb 0.739 0.595 0.864
Sb 0.261 0.405 0.136
Sb 0.500 0.000 0.000
Au 0.648 0.778 0.710
Au 0.133 0.775 0.962
Au 0.216 0.100 0.863
Au 0.674 0.437 0.534
Au 0.427 0.655 0.076
Au 0.573 0.345 0.924
Au 0.867 0.225 0.038
Au 0.352 0.222 0.290
Au 0.636 0.084 0.443
Au 0.784 0.900 0.137
Au 0.326 0.563 0.466
Au 0.364 0.916 0.557

[7]
The following is a GGA-PBE calculation of CsSb4Au after structural relaxation, from Alexandria via LeMat-Bulk.

Summary:
**Uncorrected energy**: -3.561 eV per atom

a b c (Å): 8.692 7.239 7.451
angles (deg): 119.06 78.92 90.00
Fractional coordinates of all 12 atoms:
Sb 0.000 0.258 0.000
Sb 0.633 0.867 0.159
Sb 0.399 0.710 0.420
Sb 0.000 0.742 0.000
Sb 0.633 0.292 0.159
Sb 0.367 0.708 0.841
Sb 0.601 0.290 0.580
Sb 0.367 0.133 0.841
Au 0.189 0.585 0.170
Au 0.811 0.415 0.830
Cs 0.181 0.213 0.426
Cs 0.819 0.787 0.574

[8]
The following is a GGA-PBE calculation of CsSbAu3 after structural relaxation, from Alexandria via LeMat-Bulk.

Summary:
**Uncorrected energy**: -3.177 eV per atom

a b c (Å): 5.288 8.222 8.463
angles (deg): 70.18 96.82 77.96
Fractional coordinates of all 10 atoms:
Au 0.605 0.804 0.684
Au 0.155 0.086 0.265
Au 0.759 0.451 0.811
Au 0.095 0.065 0.605
Au 0.482 0.022 0.890
Au 0.646 0.071 0.197
Cs 0.255 0.575 0.024
Cs 0.123 0.612 0.494
Sb 0.963 0.096 0.941
Sb 0.565 0.156 0.477

Respective raw formation energy values: -0.286 0.144 -0.227 -0.059 -0.185 -0.100 -0.124 -0.215 eV per atom.